Entry 1:
GdThPa after structural relaxation. Source: the Alexandria database, functional PBE.

Summary:
Spin magnetization (μB/f.u.): 6.99
Calculated total energy (eV/cell): -30.5
ΔH_f (0 K) (kcal/mol of atoms): 3.55
Relative energy among the computed polymorphs (eV/atom): 0.000

a b c (Å): 3.385 3.385 8.051
angles (deg): 102.14 102.14 90.00
Last column: magnetic moment on the atom in μB.
Element x y z (fractional)
Th: 0.674 0.674 0.349  -0.03
Pa: 0.332 0.332 0.664  -0.21
Gd: 0.993 0.993 0.987  7.10


Entry 2:
GdPaTi2 after structural relaxation. Source: the Alexandria database, functional PBE.

Summary:
Spin magnetization (μB/f.u.): 7.36
Calculated total energy (eV/cell): -38.9
ΔH_f (0 K) (kcal/mol of atoms): 2.75

a b c (Å): 3.648 3.648 6.920
angles (deg): 90.00 90.00 90.00
Last column: magnetic moment on the atom in μB.
Element x y z (fractional)
Gd: 0.500 0.500 0.500  7.08
Ti: 0.000 0.000 0.802  0.03
Ti: 0.000 0.000 0.198  0.03
Pa: 0.500 0.500 0.000  0.02


Entry 3:
GdPaTl after structural relaxation. Source: the Alexandria database, functional PBE.

Summary:
Spin magnetization (μB/f.u.): 6.82
Calculated total energy (eV/cell): -25.0
ΔH_f (0 K) (kcal/mol of atoms): 7.07

a b c (Å): 3.129 5.365 5.365
angles (deg): 120.00 90.00 90.00
Last column: magnetic moment on the atom in μB.
Element x y z (fractional)
Pa: 0.501 0.667 0.333  -0.41
Gd: 0.499 0.333 0.667  7.16
Tl: 0.000 0.000 0.000  -0.02


Entry 4:
GdPaTl2 after structural relaxation. Source: the Alexandria database, functional PBE.

Summary:
Spin magnetization (μB/f.u.): 5.83
Calculated total energy (eV/cell): -28.0
ΔH_f (0 K) (kcal/mol of atoms): 1.63
Relative energy among the computed polymorphs (eV/atom): 0.138

a b c (Å): 5.399 5.399 5.399
angles (deg): 60.00 60.00 60.00
Last column: magnetic moment on the atom in μB.
Element x y z (fractional)
Pa: 0.000 0.000 0.000  -1.05
Tl: 0.750 0.750 0.750  -0.03
Gd: 0.500 0.500 0.500  7.00
Tl: 0.250 0.250 0.250  -0.03


Entry 5:
GdPaTl2 after structural relaxation. Source: the Alexandria database, functional PBE.

Summary:
Spin magnetization (μB/f.u.): 9.10
Calculated total energy (eV/cell): -28.3
ΔH_f (0 K) (kcal/mol of atoms): -0.19
Relative energy among the computed polymorphs (eV/atom): 0.058

a b c (Å): 4.533 4.915 4.915
angles (deg): 90.00 90.00 90.00
Last column: magnetic moment on the atom in μB.
Element x y z (fractional)
Gd: 0.500 0.000 0.000  7.33
Tl: 0.000 0.500 0.000  -0.01
Pa: 0.500 0.500 0.500  1.17
Tl: 0.000 0.000 0.500  -0.01


Entry 6:
GdPaTl2 after structural relaxation. Source: the Alexandria database, functional PBE.

Summary:
Spin magnetization (μB/f.u.): 6.37
Calculated total energy (eV/cell): -28.6
ΔH_f (0 K) (kcal/mol of atoms): -1.54
Relative energy among the computed polymorphs (eV/atom): 0.000

a b c (Å): 3.396 3.396 9.294
angles (deg): 90.00 90.00 90.00
Last column: magnetic moment on the atom in μB.
Element x y z (fractional)
Tl: 0.000 0.000 0.751  -0.01
Pa: 0.500 0.500 0.500  -0.96
Tl: 0.000 0.000 0.249  -0.01
Gd: 0.500 0.500 0.000  7.29